Below is a relaxed structure of PmGa2Te3, with properties calculated at the PBE-GGA level.

Calculated values
D(E_F) (states/eV per atom): 0.44
Total magnetization (μB/f.u.): 0.00
Final energy (eV per atom): -3.989
E_form (uncorrected) (kcal/mol of atoms): -14.23
Calculated volume (Å³/atom): 29.8

Unit cell a=4.1060 b=9.6790 c=9.0631 alpha=83.83 beta=90.00 gamma=90.00
With the nearest neighbours (Å) after each atom.
Element x y z (fractional)
Te 0.7500 0.5048 0.2989  3 Ga 2.75-2.80
Te 0.2500 0.9047 0.3349  1 Ga 2.70
Te 0.7500 0.0953 0.6651  1 Ga 2.70
Te 0.7500 0.7111 0.9473  2 Ga 2.93, 2 Pm 3.20
Te 0.2500 0.2889 0.0527  2 Ga 2.93, 2 Pm 3.20
Te 0.2500 0.4952 0.7011  3 Ga 2.75-2.80
Ga 0.7500 0.0998 0.9623  3 Te 2.70-2.93, 2 Ga 2.85
Ga 0.2500 0.9002 0.0377  3 Te 2.70-2.93, 2 Ga 2.85
Ga 0.2500 0.3545 0.4533  3 Te 2.75-2.80
Ga 0.7500 0.6455 0.5467  3 Te 2.75-2.80
Pm 0.7500 0.1604 0.3013  3 Ga 3.19, 6 Te 3.20-3.33
Pm 0.2500 0.8396 0.6987  3 Ga 3.19, 6 Te 3.20-3.33